LiCeYSi: optimized geometry, PBE-GGA.

Geometry as extended XYZ:
```
4
Lattice="5.033 0.000 0.000 2.516 4.359 0.000 2.516 1.453 4.109" Properties=species:S:1:pos:R:3 pbc="T T T"
Y 7.549 4.359 3.082
Si 5.033 2.906 2.055
Li 0.000 0.000 0.000
Ce 2.516 1.453 1.027
```

Summary:
formation energy from raw total energies	-0.282	eV per atom
space group	F-43m, No. 216